Ba2TlTe | Alexandria via LeMat-Bulk | PBE | optimized geometry; total energy = -3.2285 eV/atom; total magnetization = 0.00 μB/f.u.; ΔE_f (raw) = -0.89 eV per atom; E above lowest polymorph = 50.4 meV per atom; theoretical density = 6.1 Mg/m³
1.0
-3.3663 1.7590 -5.8451
-5.8000 -1.3019 -3.6411
-3.2929 4.1263 2.0943
Tl Te Ba
1 1 2
Direct
0.2732 0.2732 0.0927
0.4741 0.4741 0.6578
0.7498 0.7498 0.6111
0.0028 0.0028 0.1384

Ba2TlTe | Alexandria via LeMat-Bulk | PBE | optimized geometry; total energy = -3.2439 eV/atom; total magnetization = 0.00 μB/f.u.; ΔE_f (raw) = -0.91 eV per atom; E above lowest polymorph = 34.9 meV per atom; theoretical density = 6.5 Mg/m³
1.0
8.9609 -0.0002 -0.0005
-3.4744 4.9939 0.0058
2.0121 1.3909 3.4635
Ba Tl Te
2 1 1
Direct
0.5000 0.0000 0.5000
0.0000 0.0000 0.0000
0.5000 0.5000 0.0000
0.0000 0.5000 0.5000

Ba3TlTe | Alexandria via LeMat-Bulk | PBE | optimized geometry; total energy = -2.8008 eV/atom; total magnetization = 1.09 μB/f.u.; ΔE_f (raw) = -0.55 eV per atom; E above lowest polymorph = 0.0 meV per atom; theoretical density = 4.3 Mg/m³
1.0
6.6071 0.0000 0.0000
0.0000 6.6071 0.0000
0.0000 0.0000 6.6071
Ba Te Tl
3 1 1
Direct
0.0000 0.5000 0.0000
0.0000 0.0000 0.5000
0.5000 0.0000 0.0000
0.0000 0.0000 0.0000
0.5000 0.5000 0.5000

BaTl2Te2 | Alexandria via LeMat-Bulk | PBE | optimized geometry; total energy = -3.2423 eV/atom; total magnetization = 0.00 μB/f.u.; ΔE_f (raw) = -0.65 eV per atom; E above lowest polymorph = 236.4 meV per atom; theoretical density = 7.4 Mg/m³
1.0
-0.4751 -2.9844 8.5156
6.8342 -5.6871 -1.6119
2.8683 3.0942 1.2444
Tl Te Ba
4 4 2
Direct
0.6181 0.1181 0.0000
0.8819 0.6181 0.0000
0.3819 0.8819 0.0000
0.1181 0.3819 0.0000
0.1878 0.6878 0.5000
0.3122 0.1878 0.5000
0.8122 0.3122 0.5000
0.6878 0.8122 0.5000
0.0000 0.0000 0.0000
0.5000 0.5000 0.0000

BaTl2Te2 | Alexandria via LeMat-Bulk | PBE | optimized geometry; total energy = -3.3133 eV/atom; total magnetization = 0.00 μB/f.u.; ΔE_f (raw) = -0.73 eV per atom; E above lowest polymorph = 165.4 meV per atom; theoretical density = 7.1 Mg/m³
1.0
-4.3846 -0.9951 1.1903
0.7945 -4.5051 -0.8394
0.7032 -3.8525 8.4565
Tl Te Ba
2 2 1
Direct
0.7500 0.2500 0.5000
0.2500 0.7500 0.5000
0.4013 0.4013 0.1975
0.5987 0.5987 0.8025
0.0000 0.0000 0.0000

Ba2TlTe | Alexandria via LeMat-Bulk | PBE | optimized geometry; total energy = -3.1059 eV/atom; total magnetization = 0.00 μB/f.u.; ΔE_f (raw) = -0.77 eV per atom; E above lowest polymorph = 172.9 meV per atom; theoretical density = 6.4 Mg/m³
1.0
4.0197 -0.0269 4.5382
-0.2961 4.2260 4.3367
-1.7594 -1.5203 5.5988
Ba Te Tl
2 1 1
Direct
0.7500 0.7500 0.7500
0.2500 0.2500 0.2500
0.0000 0.0000 0.0000
0.5000 0.5000 0.5000

BaTlTe2 | Alexandria via LeMat-Bulk | PBE | optimized geometry; total energy = -3.4517 eV/atom; total magnetization = 0.00 μB/f.u.; ΔE_f (raw) = -0.81 eV per atom; theoretical density = 6.9 Mg/m³
1.0
6.8846 -0.0063 -0.0216
3.3941 5.9899 0.0216
-5.1258 -3.0150 3.4691
Ba Te Tl
1 2 1
Direct
0.2505 0.7505 0.5000
0.7493 0.2493 0.5000
0.9990 0.9990 0.0000
0.5013 0.5013 0.0000

BaTlTe2 | Alexandria via LeMat-Bulk | PBE | optimized geometry; total energy = -3.5475 eV/atom; total magnetization = 0.00 μB/f.u.; ΔE_f (raw) = -0.90 eV per atom; theoretical density = 6.4 Mg/m³
1.0
7.3162 0.0193 0.0002
5.8724 4.3637 0.0002
0.0011 0.0004 4.8871
Te Tl Ba
2 1 1
Direct
0.7248 0.7248 0.6246
0.9838 0.9838 0.1252
0.5131 0.5131 0.6255
0.2783 0.2783 0.1247